# CoTe2IO SCAN single point on PBEsol structure
# **Formation energy without anion corrections**: 0.45 eV/atom
# **Crystal system**: tetragonal
# **Electronic total energy**: -26.50 eV per atom
data_CoTe2IO
_chemical_formula_sum 'Co1 Te2 I1 O1'
_cell_length_a 4.347
_cell_length_b 4.347
_cell_length_c 6.519
_cell_angle_alpha 90.00
_cell_angle_beta 90.00
_cell_angle_gamma 90.00
_space_group_name_H-M_alt 'P 4/m m m'
_space_group_IT_number 123
_space_group_name_Hall '-P 4 2'
loop_
_atom_site_label
_atom_site_fract_x
_atom_site_fract_y
_atom_site_fract_z
Co1 0.000 0.000 0.000
Te1 0.000 0.500 0.500
I1 0.500 0.500 0.000
O1 0.500 0.500 0.500